Entry 1:
This record from Alexandria via LeMat-Bulk describes a relaxed structure of YAs2Ru. The functional is PBE.

Lattice parameters (Å, degrees): 4.0922 5.4802 6.8829 90.00 90.00 90.00
Space group Immm (No. 71)
One atom of each set of equivalent atoms:
Y 0.0000 0.0000 0.0000 [2 per cell]
As 0.0000 0.5000 0.2097 [4 per cell]
Ru 0.0000 0.0000 0.5000 [2 per cell]

## Properties
**Energy relative to the lowest polymorph listed for this composition**: 0.674 eV per formula unit
**Total energy**: -54.5 eV for the cell shown
**Formation energy from the elements**: -0.558 eV per atom

Entry 2:
This record from Alexandria via LeMat-Bulk describes a relaxed structure of PmSm2Zn4. The functional is PBE.

Lattice parameters (Å, degrees): 5.2494 5.2494 12.7415 90.00 90.00 90.00
Space group I4/mmm (No. 139)
One atom of each set of equivalent atoms:
Pm 0.0000 0.0000 0.0000 [2 per cell]
Sm 0.0000 0.0000 0.2796 [4 per cell]
Zn 0.0000 0.5000 0.1089 [8 per cell]

## Properties
**Total energy**: -40.6 eV for the cell shown
**Formation energy from the elements**: -0.146 eV per atom

Entry 3:
This record from Alexandria via LeMat-Bulk describes a relaxed structure of Ba2CrCo. The functional is PBE.

Lattice parameters (Å, degrees): 4.3234 4.9306 12.5832 90.00 90.00 90.00
Space group Amm2 (No. 38)
One atom of each set of equivalent atoms:
Ba 0.0000 0.0000 0.0000 [2 per cell]
Ba 0.5000 0.0000 0.2796 [2 per cell]
Cr 0.5000 0.0000 0.6002 [2 per cell]
Co 0.0000 0.0000 0.6669 [2 per cell]

## Properties
**Energy relative to the lowest polymorph listed for this composition**: 0.317 eV per formula unit
**Total energy**: -36.9 eV for the cell shown
**Formation energy from the elements**: 0.526 eV per atom

Entry 4:
This record from Alexandria via LeMat-Bulk describes a relaxed structure of RbMgCd. The functional is PBE.

Lattice parameters (Å, degrees): 8.8630 4.9235 12.1138 90.00 103.93 90.00
Space group C2/m (No. 12)
One atom of each set of equivalent atoms:
Rb 0.2089 0.0000 0.1827 [4 per cell]
Mg 0.1449 0.5000 0.4521 [4 per cell]
Cd 0.0578 0.0000 0.6212 [4 per cell]

## Properties
**Energy relative to the lowest polymorph listed for this composition**: 0.058 eV per formula unit
**Total energy**: -13.7 eV for the cell shown
**Formation energy from the elements**: 0.021 eV per atom

Entry 5:
This record from Alexandria via LeMat-Bulk describes a relaxed structure of Th3Bi2Pd. The functional is PBE.

Lattice parameters (Å, degrees): 13.1222 4.4060 12.2756 90.00 90.00 90.00
Space group Pnma (No. 62)
One atom of each set of equivalent atoms:
Th 0.0546 0.2500 0.1143 [4 per cell]
Th 0.1247 0.7500 0.5512 [4 per cell]
Th 0.2464 0.2500 0.7703 [4 per cell]
Bi 0.0062 0.2500 0.7027 [4 per cell]
Bi 0.1888 0.7500 0.9831 [4 per cell]
Pd 0.1126 0.2500 0.3747 [4 per cell]

## Properties
**Total energy**: -154.1 eV for the cell shown
**Formation energy from the elements**: -0.551 eV per atom

Entry 6:
This record from Alexandria via LeMat-Bulk describes a relaxed structure of InNi2TePt. The functional is PBE.

Lattice parameters (Å, degrees): 4.7866 4.7866 5.1289 90.00 90.00 90.00
Space group P4/mmm (No. 123)
One atom of each set of equivalent atoms:
In 0.0000 0.0000 0.0000 [1 per cell]
Ni 0.0000 0.5000 0.5000 [2 per cell]
Te 0.5000 0.5000 0.0000 [1 per cell]
Pt 0.5000 0.5000 0.5000 [1 per cell]

## Properties
**Total energy**: -20.3 eV for the cell shown
**E_form (uncorrected)**: 3.17 eV per formula unit